Computed, not measured: a geometry-optimized CsYCuCl6 structure at the GGA-PBE level of DFT.

Unit cell a=7.2694 b=6.5846 c=7.7770 alpha=86.04 beta=82.79 gamma=56.48
Last column: magnetic moment on the atom in μB.
Sites, in units of the cell vectors:
1 Cl 0.3707 0.0392 0.6929  0.10
2 Cl 0.3701 0.6276 0.3486  0.08
3 Cl 0.5898 0.0389 0.3068  0.10
4 Cl 0.6292 0.3862 0.7441  0.01
5 Cl 0.9854 0.3858 0.2564  0.01
6 Cl 0.0021 0.6282 0.6513  0.08
7 Cs 0.0410 0.9184 0.0000  0.00
8 Cu 0.3309 0.3371 0.4996  0.51
9 Y 0.6806 0.6387 0.5001  0.00

Energy relative to the elements, uncorrected: -1.64 eV per atom
Volume: 34.21 Å³/atom

---

Computed, not measured: a geometry-optimized Sc3TlGa structure at the GGA-PBE level of DFT.

Unit cell a=5.0796 b=5.0796 c=5.0796 alpha=90.00 beta=90.00 gamma=90.00
Sites, in units of the cell vectors:
1 Tl 0.5000 0.5000 0.5000
2 Sc 0.5000 0.0000 0.0000
3 Sc 0.0000 0.5000 0.0000
4 Sc 0.0000 0.0000 0.5000
5 Ga 0.0000 0.0000 0.0000

Calculated formation energy: -0.04 eV per atom
Volume: 26.21 Å³/atom

---

Computed, not measured: a geometry-optimized TbPm2Y structure at the GGA-PBE level of DFT.

Unit cell a=5.0719 b=7.2325 c=7.2310 alpha=90.00 beta=90.00 gamma=90.00
Sites, in units of the cell vectors:
1 Pm 0.5000 0.0000 0.2518
2 Pm 0.5000 0.5000 0.7482
3 Pm 0.5000 0.0000 0.7482
4 Pm 0.5000 0.5000 0.2518
5 Tb 0.0000 0.7500 0.4999
6 Tb 0.0000 0.2500 0.5001
7 Y 0.0000 0.2500 0.0001
8 Y 0.0000 0.7500 0.9999

Calculated formation energy: 0.01 eV per atom
Volume: 33.16 Å³/atom

---

Computed, not measured: a geometry-optimized LaCu2W structure at the GGA-PBE level of DFT.

Unit cell a=5.3886 b=5.3886 c=5.1189 alpha=68.70 beta=68.70 gamma=30.79
Sites, in units of the cell vectors:
1 W 0.7305 0.7305 0.8341
2 Cu 0.2779 0.2779 0.2581
3 Cu 0.9842 0.9842 0.9555
4 La 0.5074 0.5074 0.4523

Calculated formation energy: 0.51 eV per atom
Volume: 17.62 Å³/atom